Here is a relaxed structure of MgInPb2 from Alexandria via LeMat-Bulk. Energies are from GGA-PBE.

abc: 3.4450 4.8803 6.7019
angles: 90.00 95.34 90.00
With the nearest neighbours (Å) after each atom.
Element x y z (fractional)
Mg (0.0000, 0.0000, 0.0000)  4 In 3.25-3.61, 6 Pb 3.28-3.43, 2 Mg 3.44
In (0.5590, 0.5000, 0.7513)  6 Pb 3.22-3.48, 4 Mg 3.25-3.61, 2 In 3.44
Pb (0.0366, 0.0000, 0.5134)  2 Mg 3.28-3.43, 4 In 3.35-3.42, 6 Pb 3.44-3.59
Pb (0.5165, 0.5000, 0.2300)  2 In 3.22-3.48, 4 Mg 3.31-3.40, 6 Pb 3.44-3.59

Calculated values
Space group: Pm, No. 6
Total magnetization (μB/f.u.): 0.0
Total DFT energy (no corrections) (eV per atom): -2.942